Record 1
# CaMn4O8

A crystal of CaMn4O8 relaxed with PBEsol (meta-GGA SCAN, Alexandria via LeMat-Bulk).

Unit cell a=6.574 b=6.574 c=9.345 alpha=90.00 beta=90.00 gamma=129.39
Sites, in units of the cell vectors:
Ca1 0.120 0.880 0.500
Ca2 0.880 0.120 0.000
Mn1 0.120 0.382 0.418
Mn2 0.177 0.823 0.187
Mn3 0.329 0.671 0.696
Mn4 0.382 0.120 0.918
Mn5 0.618 0.880 0.418
Mn6 0.671 0.329 0.196
Mn7 0.823 0.177 0.687
Mn8 0.880 0.618 0.918
O1 0.007 0.499 0.588
O2 0.067 0.933 0.031
O3 0.138 0.348 0.790
O4 0.186 0.814 0.804
O5 0.297 0.703 0.322
O6 0.348 0.138 0.290
O7 0.432 0.568 0.532
O8 0.499 0.007 0.088
O9 0.501 0.993 0.588
O10 0.568 0.432 0.032
O11 0.652 0.862 0.790
O12 0.703 0.297 0.822
O13 0.814 0.186 0.304
O14 0.862 0.652 0.290
O15 0.933 0.067 0.531
O16 0.993 0.501 0.088

Computed properties:
energy relative to the lowest polymorph listed for this composition	0.36	eV per formula unit
formation energy without anion corrections	-2303	meV per atom

Record 2
# CsMnTe2

A crystal of CsMnTe2 relaxed with PBEsol (meta-GGA SCAN, Alexandria via LeMat-Bulk).

Unit cell a=10.585 b=10.585 c=6.873 alpha=107.78 beta=107.78 gamma=21.16
Sites, in units of the cell vectors:
Cs1 0.083 0.083 0.334
Cs2 0.917 0.917 0.666
Mn1 0.176 0.176 0.881
Mn2 0.824 0.824 0.119
Te1 0.262 0.262 0.271
Te2 0.415 0.415 0.146
Te3 0.585 0.585 0.854
Te4 0.738 0.738 0.729

Computed properties:
formation energy without anion corrections	-841	meV per atom

Record 3
# BeCdTc4

A crystal of BeCdTc4 relaxed with PBEsol (meta-GGA SCAN, Alexandria via LeMat-Bulk).

Unit cell a=5.058 b=5.058 c=5.058 alpha=60.00 beta=60.00 gamma=60.00
Sites, in units of the cell vectors:
Be1 0.000 0.000 0.000
Cd1 0.250 0.250 0.250
Tc1 0.124 0.625 0.625
Tc2 0.625 0.124 0.625
Tc3 0.625 0.625 0.124
Tc4 0.625 0.625 0.625

Computed properties:
energy of formation from the pure elements	0.54	eV per atom

Record 4
# CdPb2

A crystal of CdPb2 relaxed with PBEsol (meta-GGA SCAN, Alexandria via LeMat-Bulk).

Unit cell a=7.089 b=7.089 c=7.089 alpha=151.53 beta=151.53 gamma=40.71
Sites, in units of the cell vectors:
Cd1 0.000 0.000 0.000
Pb1 0.344 0.344 0.000
Pb2 0.656 0.656 0.000

Computed properties:
energy of formation from the pure elements	0.04	eV per atom
energy relative to the lowest polymorph listed for this composition	0.06	eV per formula unit

Please write out number 2 again, unchanged.
# CsMnTe2

A crystal of CsMnTe2 relaxed with PBEsol (meta-GGA SCAN, Alexandria via LeMat-Bulk).

Unit cell a=10.585 b=10.585 c=6.873 alpha=107.78 beta=107.78 gamma=21.16
Sites, in units of the cell vectors:
Cs1 0.083 0.083 0.334
Cs2 0.917 0.917 0.666
Mn1 0.176 0.176 0.881
Mn2 0.824 0.824 0.119
Te1 0.262 0.262 0.271
Te2 0.415 0.415 0.146
Te3 0.585 0.585 0.854
Te4 0.738 0.738 0.729

Computed properties:
formation energy without anion corrections	-841	meV per atom

Repeat the first record exactly.
# CaMn4O8

A crystal of CaMn4O8 relaxed with PBEsol (meta-GGA SCAN, Alexandria via LeMat-Bulk).

Unit cell a=6.574 b=6.574 c=9.345 alpha=90.00 beta=90.00 gamma=129.39
Sites, in units of the cell vectors:
Ca1 0.120 0.880 0.500
Ca2 0.880 0.120 0.000
Mn1 0.120 0.382 0.418
Mn2 0.177 0.823 0.187
Mn3 0.329 0.671 0.696
Mn4 0.382 0.120 0.918
Mn5 0.618 0.880 0.418
Mn6 0.671 0.329 0.196
Mn7 0.823 0.177 0.687
Mn8 0.880 0.618 0.918
O1 0.007 0.499 0.588
O2 0.067 0.933 0.031
O3 0.138 0.348 0.790
O4 0.186 0.814 0.804
O5 0.297 0.703 0.322
O6 0.348 0.138 0.290
O7 0.432 0.568 0.532
O8 0.499 0.007 0.088
O9 0.501 0.993 0.588
O10 0.568 0.432 0.032
O11 0.652 0.862 0.790
O12 0.703 0.297 0.822
O13 0.814 0.186 0.304
O14 0.862 0.652 0.290
O15 0.933 0.067 0.531
O16 0.993 0.501 0.088

Computed properties:
energy relative to the lowest polymorph listed for this composition	0.36	eV per formula unit
formation energy without anion corrections	-2303	meV per atom